Record 1
A plane-wave DFT calculation with GGA-PBEsol was carried out for LiMg2Al after structural relaxation. Values from VASP.

## Properties
energy relative to the elements: -0.026 eV per atom

Geometry as Quantum ESPRESSO input:
```
&SYSTEM
  ibrav = 0, nat = 4, ntyp = 3
/
ATOMIC_SPECIES
Mg 24.30 Mg.upf
Al 26.98 Al.upf
Li 6.94 Li.upf
CELL_PARAMETERS angstrom
4.2105 0.0000 0.0000
0.0000 4.2105 0.0000
-2.1052 -2.1052 4.3361
ATOMIC_POSITIONS crystal
Mg 0.0000 0.0000 0.0000
Mg 0.7500 0.2500 0.5000
Al 0.5000 0.5000 0.0000
Li 0.2500 0.7500 0.5000
```

---

Record 2
A plane-wave DFT calculation with GGA-PBEsol was carried out for Sr2Ti2Be after structural relaxation. Values from VASP.

## Properties
energy relative to the elements: 0.659 eV per atom

Geometry as Quantum ESPRESSO input:
```
&SYSTEM
  ibrav = 0, nat = 5, ntyp = 3
/
ATOMIC_SPECIES
Ti 47.87 Ti.upf
Sr 87.62 Sr.upf
Be 9.01 Be.upf
CELL_PARAMETERS angstrom
-1.3782 -2.8138 -1.8156
2.8833 -1.9956 0.9042
-5.4347 -0.6233 8.7029
ATOMIC_POSITIONS crystal
Ti 0.7500 0.2500 0.5000
Ti 0.2500 0.7500 0.5000
Sr 0.5935 0.5935 0.1869
Sr 0.4065 0.4065 0.8131
Be 0.0000 0.0000 0.0000
```

---

Record 3
A plane-wave DFT calculation with GGA-PBEsol was carried out for Zr3Ir5 after structural relaxation. Values from VASP.

## Properties
energy relative to the elements: -0.776 eV per atom

Geometry as Quantum ESPRESSO input:
```
&SYSTEM
  ibrav = 0, nat = 8, ntyp = 2
/
ATOMIC_SPECIES
Ir 192.22 Ir.upf
Zr 91.22 Zr.upf
CELL_PARAMETERS angstrom
4.1973 0.0000 0.0000
0.0000 5.5902 0.0120
0.0000 -0.5889 5.5591
ATOMIC_POSITIONS crystal
Ir 0.0000 0.0000 0.5000
Ir 0.5000 0.7265 0.7265
Ir 0.0000 0.5000 0.0000
Ir 0.0000 0.0000 0.0000
Ir 0.5000 0.2735 0.2735
Zr 0.0000 0.5000 0.5000
Zr 0.5000 0.7867 0.2133
Zr 0.5000 0.2133 0.7867
```

---

Record 4
A plane-wave DFT calculation with GGA-PBEsol was carried out for Ce4MgRu after structural relaxation. Values from VASP.

## Properties
energy relative to the elements: 0.008 eV per atom

Geometry as Quantum ESPRESSO input:
```
&SYSTEM
  ibrav = 0, nat = 24, ntyp = 3
/
ATOMIC_SPECIES
Ce 140.12 Ce.upf
Mg 24.30 Mg.upf
Ru 101.07 Ru.upf
CELL_PARAMETERS angstrom
9.5206 0.0000 0.0000
4.7603 8.2451 0.0000
4.7603 2.7484 7.7735
ATOMIC_POSITIONS crystal
Ce 0.3066 0.6934 0.6934
Ce 0.0600 0.4400 0.4400
Ce 0.2890 0.9037 0.9037
Ce 0.4400 0.0600 0.4400
Ce 0.6934 0.6934 0.3066
Ce 0.0600 0.0600 0.4400
Ce 0.9037 0.9037 0.9037
Ce 0.3066 0.3066 0.6934
Ce 0.4400 0.4400 0.0600
Ce 0.6934 0.3066 0.3066
Ce 0.4400 0.0600 0.0600
Ce 0.0600 0.4400 0.0600
Ce 0.6934 0.3066 0.6934
Ce 0.3066 0.6934 0.3066
Ce 0.9037 0.9037 0.2890
Ce 0.9037 0.2890 0.9037
Mg 0.9895 0.6702 0.6702
Mg 0.6702 0.6702 0.9895
Mg 0.6702 0.6702 0.6702
Mg 0.6702 0.9895 0.6702
Ru 0.1141 0.1141 0.6577
Ru 0.6577 0.1141 0.1141
Ru 0.1141 0.1141 0.1141
Ru 0.1141 0.6577 0.1141
```

---

Record 5
A plane-wave DFT calculation with GGA-PBEsol was carried out for ZnAgAs2 after structural relaxation. Values from VASP.

## Properties
energy relative to the elements: 0.244 eV per atom

Geometry as Quantum ESPRESSO input:
```
&SYSTEM
  ibrav = 0, nat = 4, ntyp = 3
/
ATOMIC_SPECIES
As 74.92 As.upf
Zn 65.41 Zn.upf
Ag 107.87 Ag.upf
CELL_PARAMETERS angstrom
-2.7495 -3.1511 0.0738
1.5398 -1.2574 3.6800
-2.0257 4.5440 0.0232
ATOMIC_POSITIONS crystal
As 0.2500 0.7500 0.5000
As 0.7500 0.2500 0.5000
Zn 0.5000 0.5000 0.0000
Ag 0.0000 0.0000 0.0000
```

---

Record 6
A plane-wave DFT calculation with GGA-PBEsol was carried out for CoSiW2 after structural relaxation. Values from VASP.

## Properties
raw formation energy: -0.04 eV per formula unit

Geometry as Quantum ESPRESSO input:
```
&SYSTEM
  ibrav = 0, nat = 4, ntyp = 3
/
ATOMIC_SPECIES
W 183.84 W.upf
Co 58.93 Co.upf
Si 28.09 Si.upf
CELL_PARAMETERS angstrom
-2.3855 -1.0399 1.7076
1.0104 -2.9210 -0.3673
3.0759 0.4863 4.5932
ATOMIC_POSITIONS crystal
W 0.5000 0.5000 0.2657
W 0.0000 0.0000 0.9881
Co 0.0000 0.0000 0.5089
Si 0.5000 0.5000 0.7373
```

---

For reference, total moment by record: 0.0; 0.0; 0.0; 12.6; 0.0; 0.0 μB per cell.